# 1
Computed, not measured: a relaxed CsAgIrF6 crystal at the PBE level of DFT.

Calculated values
The value obtained for the formation energy without anion corrections is -1.763 eV/atom. Its volume is 196.3 Å³/cell. The total energy is -4.41 eV per atom.

The structure in POSCAR format:
```
CsAgIrF6
1.0
-1.646 -3.903 4.494
-3.633 -4.836 -1.249
4.823 -3.325 -1.108
Ag F Ir Cs
1 6 1 1
Direct
0.666 0.666 0.500
0.060 0.598 0.681
0.342 0.063 0.683
0.344 0.594 0.317
0.063 0.342 0.317
0.598 0.060 0.319
0.594 0.344 0.683
0.333 0.333 0.500
0.000 0.000 0.000
```


# 2
Computed, not measured: a relaxed CsKAg2F8 crystal at the PBE level of DFT.

Calculated values
The value obtained for the formation energy without anion corrections is -1.717 eV/atom. Its volume is 217.2 Å³/cell. The total energy is -3.60 eV per atom.

The structure in POSCAR format:
```
CsKAg2F8
1.0
6.398 0.000 0.000
0.000 6.398 0.000
-3.199 -3.199 5.306
F K Ag Cs
8 1 2 1
Direct
0.540 0.812 0.015
0.977 0.888 0.506
0.188 0.525 0.985
0.112 0.470 0.494
0.530 0.618 0.506
0.475 0.203 0.015
0.382 0.023 0.494
0.797 0.460 0.985
0.750 0.250 0.500
0.500 0.500 0.000
0.250 0.750 0.500
0.000 0.000 0.000
```


# 3
Computed, not measured: a relaxed Cs4KAg3F12 crystal at the PBE level of DFT.

Calculated values
The value obtained for the formation energy without anion corrections is -2.017 eV/atom. Its volume is 387.6 Å³/cell. The total energy is -3.79 eV per atom.

The structure in POSCAR format:
```
Cs4KAg3F12
1.0
-2.925 2.036 7.113
2.283 -7.620 0.154
6.255 4.608 -1.713
F Ag K Cs
12 3 1 4
Direct
0.250 0.750 0.500
0.276 0.276 0.000
0.500 0.750 0.250
0.250 0.500 0.750
0.276 0.000 0.276
0.000 0.724 0.724
0.750 0.500 0.250
0.750 0.250 0.500
0.724 0.000 0.724
0.724 0.724 0.000
0.500 0.250 0.750
0.000 0.276 0.276
0.000 0.500 0.500
0.500 0.500 0.000
0.500 0.000 0.500
0.000 0.000 0.000
0.000 0.500 0.000
0.500 0.000 0.000
0.000 0.000 0.500
0.500 0.500 0.500
```


Please write out number 3 again, unchanged.
Computed, not measured: a relaxed Cs4KAg3F12 crystal at the PBE level of DFT.

Calculated values
The value obtained for the formation energy without anion corrections is -2.017 eV/atom. Its volume is 387.6 Å³/cell. The total energy is -3.79 eV per atom.

The structure in POSCAR format:
```
Cs4KAg3F12
1.0
-2.925 2.036 7.113
2.283 -7.620 0.154
6.255 4.608 -1.713
F Ag K Cs
12 3 1 4
Direct
0.250 0.750 0.500
0.276 0.276 0.000
0.500 0.750 0.250
0.250 0.500 0.750
0.276 0.000 0.276
0.000 0.724 0.724
0.750 0.500 0.250
0.750 0.250 0.500
0.724 0.000 0.724
0.724 0.724 0.000
0.500 0.250 0.750
0.000 0.276 0.276
0.000 0.500 0.500
0.500 0.500 0.000
0.500 0.000 0.500
0.000 0.000 0.000
0.000 0.500 0.000
0.500 0.000 0.000
0.000 0.000 0.500
0.500 0.500 0.500
```


Question: Look up the volume of the second one.
Answer: 217.2 Å³/cell


What did the second record say?
Computed, not measured: a relaxed CsKAg2F8 crystal at the PBE level of DFT.

Calculated values
The value obtained for the formation energy without anion corrections is -1.717 eV/atom. Its volume is 217.2 Å³/cell. The total energy is -3.60 eV per atom.

The structure in POSCAR format:
```
CsKAg2F8
1.0
6.398 0.000 0.000
0.000 6.398 0.000
-3.199 -3.199 5.306
F K Ag Cs
8 1 2 1
Direct
0.540 0.812 0.015
0.977 0.888 0.506
0.188 0.525 0.985
0.112 0.470 0.494
0.530 0.618 0.506
0.475 0.203 0.015
0.382 0.023 0.494
0.797 0.460 0.985
0.750 0.250 0.500
0.500 0.500 0.000
0.250 0.750 0.500
0.000 0.000 0.000
```